Record 1
14
Lattice="5.888 0.000 0.929 0.000 5.807 0.000 -1.292 0.000 6.727" Properties=species:S:1:pos:R:3 comment="PBE with a Hubbard U NaCaCrO4, optimized geometry" space_group="P2_1/m, No. 11" total_energy_ev_per_atom=-6.34 pbc="T T T"
Na 2.671 4.355 6.404
Na 1.926 1.452 1.251
Ca 4.279 4.355 3.603
Ca 0.318 1.452 4.052
Cr 1.419 4.355 2.587
Cr 3.178 1.452 5.068
O 4.235 2.808 5.385
O 0.362 5.712 2.271
O 0.362 2.999 2.271
O 4.235 0.096 5.385
O 2.864 4.355 1.655
O 1.733 1.452 6.000
O 1.796 4.355 4.235
O 2.801 1.452 3.420

Record 2
8
Lattice="-1.203 -2.987 -0.598 1.285 0.588 -5.518 4.319 -2.261 2.602" Properties=species:S:1:pos:R:3 comment="PBE with a Hubbard U NaCa2CrO4, optimized geometry" space_group="P2/m, No. 10" total_energy_ev_per_atom=-6.36 pbc="T T T"
Na 0.000 0.000 0.000
Ca 1.558 -2.624 1.002
Ca 2.802 -0.837 -1.458
Cr 0.041 -1.200 -3.058
O 0.772 -1.864 -1.211
O 3.628 -2.796 -2.303
O 3.719 -1.596 0.486
O 1.884 -0.078 -3.402

Please write out number 2 again, unchanged.
8
Lattice="-1.203 -2.987 -0.598 1.285 0.588 -5.518 4.319 -2.261 2.602" Properties=species:S:1:pos:R:3 comment="PBE with a Hubbard U NaCa2CrO4, optimized geometry" space_group="P2/m, No. 10" total_energy_ev_per_atom=-6.36 pbc="T T T"
Na 0.000 0.000 0.000
Ca 1.558 -2.624 1.002
Ca 2.802 -0.837 -1.458
Cr 0.041 -1.200 -3.058
O 0.772 -1.864 -1.211
O 3.628 -2.796 -2.303
O 3.719 -1.596 0.486
O 1.884 -0.078 -3.402